DFT (GGA+U) results for CrAgBiO4 after structural relaxation.

Summary:
The calculation puts the total energy at -41.78 eV per formula unit. The space group is Imma (74). The calculation puts the size of the total moment at 4.17 μB per cell. The density of states at the Fermi level is 0.130 states/eV per atom.

Cell and atoms, written as POSCAR:
```
CrAgBiO4
1.0
-3.082 3.477 4.634
3.082 -3.477 4.634
3.082 3.477 -4.634
Cr Ag Bi O
2 2 2 8
direct
0.500 0.000 0.000
0.500 0.500 0.500
0.091 0.341 0.750
0.909 0.659 0.250
0.000 0.000 0.000
0.500 0.000 0.500
0.282 0.273 0.492
0.282 0.790 0.008
0.301 0.244 0.057
0.313 0.756 0.557
0.687 0.244 0.443
0.699 0.756 0.943
0.718 0.210 0.992
0.718 0.727 0.508
```



DFT (GGA+U) results for Cr4AgBiO14 after structural relaxation.

Summary:
The calculation puts the total energy at -127.66 eV per formula unit. The space group is I4 (79). The calculation puts the size of the total moment at 0.09 μB per cell. The density of states at the Fermi level is 0.000 states/eV per atom.

Cell and atoms, written as POSCAR:
```
Cr4AgBiO14
1.0
-4.317 4.317 4.144
4.317 -4.317 4.144
4.317 4.317 -4.144
Cr Ag Bi O
4 1 1 14
direct
0.120 0.338 0.458
0.338 0.880 0.218
0.662 0.120 0.782
0.880 0.662 0.542
0.272 0.272 0.000
0.700 0.700 0.000
0.064 0.739 0.119
0.094 0.915 0.685
0.230 0.409 0.315
0.319 0.415 0.699
0.409 0.094 0.179
0.415 0.715 0.096
0.470 0.970 0.500
0.619 0.319 0.904
0.620 0.945 0.881
0.715 0.619 0.301
0.739 0.620 0.675
0.915 0.230 0.821
0.945 0.064 0.325
0.970 0.470 0.500
```